Entry a
DFT (PBE-GGA) results for crystalline ZrH4 at its relaxed geometry.

V: 66 Å³ per cell
Magnetization: 0.0 μB per formula unit

Unit cell a=3.4638 b=3.7321 c=5.2633 alpha=104.03 beta=90.00 gamma=90.00
Fractional positions:
1 H 0.8203 0.6901 0.0563
2 H 0.3090 0.9578 0.1526
3 H 0.3090 0.5421 0.3474
4 H 0.8203 0.8099 0.4437
5 H 0.1797 0.1901 0.5563
6 H 0.6910 0.4579 0.6526
7 H 0.6910 0.0422 0.8474
8 H 0.1797 0.3099 0.9437
9 Zr 0.7992 0.2501 0.2501
10 Zr 0.2008 0.7499 0.7499

=====

Entry b
DFT (PBE-GGA) results for crystalline ZrH4 at its relaxed geometry.

V: 30 Å³ per cell
Magnetization: 0.0 μB per formula unit

Unit cell a=3.5818 b=3.5818 c=3.5818 alpha=124.21 beta=124.21 gamma=82.85
Fractional positions:
1 H 0.3818 0.3818 0.0000
2 H 0.6182 0.6182 0.0000
3 H 0.7500 0.2500 0.5000
4 H 0.2500 0.7500 0.5000
5 Zr 0.0000 0.0000 0.0000

=====

So which one is most stable? That would be entry a, about 24.3 kJ/mol of atoms below the next structure.

=====

Entry a
DFT (PBE-GGA) results for crystalline PrAgNO at its relaxed geometry.

V: 241 Å³ per cell
Magnetization: 0.0 μB per formula unit

Unit cell a=6.6022 b=6.2343 c=5.8530 alpha=90.00 beta=90.00 gamma=90.00
Fractional positions:
1 Ag 0.1171 0.1738 0.0486
2 Ag 0.6171 0.8262 0.0486
3 Ag 0.3829 0.1738 0.5486
4 Ag 0.8829 0.8262 0.5486
5 N 0.6358 0.0234 0.3701
6 N 0.1358 0.9766 0.3701
7 N 0.8642 0.0234 0.8701
8 N 0.3642 0.9766 0.8701
9 O 0.3085 0.4728 0.2449
10 O 0.8085 0.5272 0.2449
11 O 0.1915 0.4728 0.7449
12 O 0.6915 0.5272 0.7449
13 Pr 0.5765 0.2997 0.0388
14 Pr 0.0765 0.7003 0.0388
15 Pr 0.9235 0.2997 0.5388
16 Pr 0.4235 0.7003 0.5388

=====

Entry b
DFT (PBE-GGA) results for crystalline PrAgNO at its relaxed geometry.

V: 133 Å³ per cell
Magnetization: 0.0 μB per formula unit

Unit cell a=4.0054 b=5.3831 c=6.1868 alpha=90.00 beta=90.00 gamma=90.00
Fractional positions:
1 Ag 0.5000 0.9620 0.2416
2 Ag 0.5000 0.4620 0.7584
3 N 0.0000 0.9410 0.3354
4 N 0.0000 0.4410 0.6646
5 O 0.5000 0.3793 0.1267
6 O 0.5000 0.8793 0.8733
7 Pr 0.0000 0.4717 0.2798
8 Pr 0.0000 0.9717 0.7202

=====

So which one is most stable? That would be entry a, about 2.3 kJ/mol of atoms below the next structure.

=====

Entry a
DFT (PBE-GGA) results for crystalline Ni14Te at its relaxed geometry.

V: 694 Å³ per cell
Magnetization: 8.1 μB per formula unit

Unit cell a=10.0585 b=2.5662 c=26.8802 alpha=90.00 beta=91.32 gamma=90.00
Fractional positions:
1 Ni 0.2279 0.5000 0.2903
2 Ni 0.4310 0.0000 0.3056
3 Ni 0.6313 0.5000 0.3211
4 Ni 0.8348 0.0000 0.3359
5 Ni 0.0442 0.5000 0.3533
6 Ni 0.2521 0.0000 0.3682
7 Ni 0.4567 0.5000 0.3829
8 Ni 0.6621 0.0000 0.3984
9 Ni 0.8673 0.5000 0.4150
10 Ni 0.0742 0.0000 0.4309
11 Ni 0.2800 0.5000 0.4455
12 Ni 0.4850 0.0000 0.4610
13 Ni 0.6906 0.5000 0.4765
14 Ni 0.8967 0.0000 0.4922
15 Ni 0.1033 0.5000 0.5078
16 Ni 0.3094 0.0000 0.5235
17 Ni 0.5151 0.5000 0.5390
18 Ni 0.7200 0.0000 0.5545
19 Ni 0.9257 0.5000 0.5691
20 Ni 0.1326 0.0000 0.5850
21 Ni 0.3379 0.5000 0.6016
22 Ni 0.5433 0.0000 0.6171
23 Ni 0.7479 0.5000 0.6318
24 Ni 0.9558 0.0000 0.6467
25 Ni 0.1652 0.5000 0.6642
26 Ni 0.3687 0.0000 0.6789
27 Ni 0.5690 0.5000 0.6944
28 Ni 0.7721 0.0000 0.7097
29 Te 0.0087 0.0000 0.2661
30 Te 0.9913 0.5000 0.7340

=====

Entry b
DFT (PBE-GGA) results for crystalline Ni14Te at its relaxed geometry.

V: 599 Å³ per cell
Magnetization: 6.2 μB per formula unit

Unit cell a=5.5122 b=3.5254 c=30.8363 alpha=90.00 beta=90.26 gamma=90.00
Fractional positions:
1 Ni 0.1500 0.2500 0.0090
2 Ni 0.4499 0.7500 0.0268
3 Ni 0.7501 0.2500 0.0446
4 Ni 0.0499 0.7500 0.0626
5 Ni 0.3500 0.2500 0.0806
6 Ni 0.6506 0.7500 0.0982
7 Ni 0.9499 0.2500 0.1162
8 Ni 0.2511 0.7500 0.1344
9 Ni 0.5515 0.2500 0.1523
10 Ni 0.8487 0.7500 0.1700
11 Ni 0.1466 0.2500 0.1876
12 Ni 0.4570 0.7500 0.2072
13 Ni 0.7529 0.2500 0.2249
14 Ni 0.0458 0.7500 0.2415
15 Ni 0.9542 0.2500 0.7585
16 Ni 0.2470 0.7500 0.7751
17 Ni 0.5430 0.2500 0.7928
18 Ni 0.8534 0.7500 0.8124
19 Ni 0.1513 0.2500 0.8300
20 Ni 0.4485 0.7500 0.8477
21 Ni 0.7489 0.2500 0.8656
22 Ni 0.0501 0.7500 0.8838
23 Ni 0.3494 0.2500 0.9018
24 Ni 0.6500 0.7500 0.9194
25 Ni 0.9501 0.2500 0.9374
26 Ni 0.2499 0.7500 0.9554
27 Ni 0.5501 0.2500 0.9732
28 Ni 0.8500 0.7500 0.9910
29 Te 0.3458 0.2500 0.2676
30 Te 0.6542 0.7500 0.7324

=====

So which one is most stable? That would be entry b, about 15.8 kJ/mol of atoms below the next structure.

=====

Entry a
DFT (PBE-GGA) results for crystalline Li2PdAu at its relaxed geometry.

V: 227 Å³ per cell

Unit cell a=5.7406 b=6.7775 c=5.8412 alpha=90.00 beta=90.00 gamma=90.00
Fractional positions:
1 Au 0.2501 0.2500 0.0002
2 Au 0.7501 0.7500 0.4998
3 Au 0.2499 0.2500 0.5002
4 Au 0.7499 0.7500 0.9998
5 Li 0.5002 0.0000 0.2499
6 Li 0.5002 0.4999 0.2499
7 Li 0.0002 0.0000 0.2501
8 Li 0.0002 0.5001 0.2501
9 Li 0.9998 0.0000 0.7499
10 Li 0.9998 0.4999 0.7499
11 Li 0.4998 0.0000 0.7501
12 Li 0.4998 0.5001 0.7501
13 Pd 0.7502 0.2500 0.0000
14 Pd 0.2498 0.7500 0.0000
15 Pd 0.2502 0.7500 0.5000
16 Pd 0.7498 0.2500 0.5000

=====

Entry b
DFT (PBE-GGA) results for crystalline Li2PdAu at its relaxed geometry.

V: 333 Å³ per cell

Unit cell a=4.3078 b=5.9811 c=12.9200 alpha=90.00 beta=90.00 gamma=90.00
Fractional positions:
1 Au 0.0000 0.5000 0.0000
2 Au 0.5001 0.0000 0.1667
3 Au 0.0001 0.5000 0.3333
4 Au 0.5000 0.0000 0.5000
5 Au 0.9999 0.5000 0.6667
6 Au 0.4999 0.0000 0.8333
7 Li 0.5000 0.2500 0.0000
8 Li 0.5000 0.7500 0.0000
9 Li 0.0001 0.2500 0.1667
10 Li 0.0001 0.7500 0.1667
11 Li 0.5001 0.2500 0.3334
12 Li 0.5001 0.7500 0.3334
13 Li 0.0000 0.2500 0.5000
14 Li 0.0000 0.7500 0.5000
15 Li 0.4999 0.2500 0.6666
16 Li 0.4999 0.7500 0.6666
17 Li 0.9999 0.2500 0.8333
18 Li 0.9999 0.7500 0.8333
19 Pd 0.0000 0.0000 0.0000
20 Pd 0.5001 0.5000 0.1667
21 Pd 0.0001 0.0000 0.3333
22 Pd 0.5000 0.5000 0.5000
23 Pd 0.9999 0.0000 0.6667
24 Pd 0.4999 0.5000 0.8333

=====

So which one is most stable? That would be entry b, about 0.6 kJ/mol of atoms below the next structure.